Entry 1:
Entry from Alexandria via LeMat-Bulk: a PBEsol-optimized structure of KTa2Ru (meta-GGA SCAN).

Cell lengths 3.034, 3.034, 10.271 Å; angles 81.51, 81.51, 60.00 degrees
Positions (direct):
Ta  0.993  0.993  0.021
Ta  0.734  0.734  0.797
K  0.507  0.507  0.480
Ru  0.266  0.266  0.203

Output
formation energy from the elements = 0.57 eV per atom
Fermi-level density of states = 2.709 states/eV/cell
distance to the lowest polymorph of the same formula = 0 meV per atom

---

Entry 2:
Entry from Alexandria via LeMat-Bulk: a PBEsol-optimized structure of LiTaP2O (meta-GGA SCAN).

Cell lengths 3.268, 4.410, 4.410 Å; angles 90.00, 90.00, 90.00 degrees
Positions (direct):
Ta  0.500  0.500  0.500
P  0.000  0.500  0.000
P  0.000  0.000  0.500
Li  0.000  0.000  0.000
O  0.500  0.000  0.000

Output
formation energy (no corrections) = 324 meV/atom
Fermi-level density of states = 4.209 states/eV/cell

---

Entry 3:
Entry from Alexandria via LeMat-Bulk: a PBEsol-optimized structure of Zr2SiIr (meta-GGA SCAN).

Cell lengths 3.647, 3.932, 5.343 Å; angles 90.00, 109.95, 90.00 degrees
Positions (direct):
Ir  0.706  0.000  0.412
Zr  0.981  0.000  0.961
Zr  0.268  0.500  0.537
Si  0.545  0.500  0.091

Output
formation energy (no corrections) = -1027 meV/atom
Fermi-level density of states = 2.557 states/eV/cell

---

Entry 4:
Entry from Alexandria via LeMat-Bulk: a PBEsol-optimized structure of Sc2TlIr (meta-GGA SCAN).

Cell lengths 3.225, 3.225, 7.774 Å; angles 90.00, 90.00, 90.00 degrees
Site moments in Bohr magnetons follow the coordinates.
Positions (direct):
Tl  0.000  0.000  0.526  0.01
Sc  0.500  0.500  0.267  0.48
Sc  0.000  0.000  0.944  0.10
Ir  0.500  0.500  0.763  0.05

Output
formation energy from the elements = -0.32 eV per atom
Fermi-level density of states = 4.029 states/eV/cell

---

Entry 5:
Entry from Alexandria via LeMat-Bulk: a PBEsol-optimized structure of TaTiAl2Ir (meta-GGA SCAN).

Cell lengths 4.382, 4.785, 4.785 Å; angles 90.00, 90.00, 90.00 degrees
Positions (direct):
Al  0.000  0.000  0.500
Al  0.000  0.500  0.000
Ir  0.500  0.500  0.500
Ti  0.500  0.000  0.000
Ta  0.000  0.000  0.000

Output
formation energy from the elements = 1.37 eV per atom
Fermi-level density of states = 3.953 states/eV/cell

---

Entry 6:
Entry from Alexandria via LeMat-Bulk: a PBEsol-optimized structure of CaNiW2 (meta-GGA SCAN).

Cell lengths 2.691, 2.691, 8.947 Å; angles 90.00, 90.00, 90.00 degrees
Positions (direct):
Ca  0.500  0.500  0.000
Ni  0.500  0.500  0.500
W  0.000  0.000  0.297
W  0.000  0.000  0.703

Output
formation energy from the elements = 0.68 eV per atom
Fermi-level density of states = 5.096 states/eV/cell
distance to the lowest polymorph of the same formula = 189 meV per atom

---

Entry 7:
Entry from Alexandria via LeMat-Bulk: a PBEsol-optimized structure of Sb2PBr (meta-GGA SCAN).

Cell lengths 3.496, 3.496, 7.566 Å; angles 90.00, 90.00, 90.00 degrees
Positions (direct):
Br  0.500  0.500  0.000
P  0.500  0.500  0.500
Sb  0.000  0.000  0.301
Sb  0.000  0.000  0.699

Output
formation energy (no corrections) = 144 meV/atom
Fermi-level density of states = 1.035 states/eV/cell
distance to the lowest polymorph of the same formula = 0 meV per atom

---

Entry 8:
Entry from Alexandria via LeMat-Bulk: a PBEsol-optimized structure of LiCa2TeO6 (meta-GGA SCAN).

Cell lengths 5.473, 5.686, 7.646 Å; angles 90.00, 91.81, 90.00 degrees
Site moments in Bohr magnetons follow the coordinates.
Positions (direct):
Ca  0.520  0.939  0.245  0.00
Ca  0.480  0.061  0.755  0.00
Ca  0.980  0.439  0.255  0.00
Ca  0.020  0.561  0.745  0.00
O  0.783  0.690  0.453  0.08
O  0.217  0.310  0.547  0.08
O  0.315  0.778  0.558  0.20
O  0.717  0.190  0.047  0.08
O  0.604  0.464  0.741  0.18
O  0.396  0.536  0.259  0.18
O  0.815  0.722  0.058  0.20
O  0.283  0.810  0.953  0.08
O  0.104  0.036  0.241  0.18
O  0.896  0.964  0.759  0.18
O  0.685  0.222  0.442  0.20
O  0.185  0.278  0.942  0.20
Te  0.500  0.500  0.500  -0.03
Te  0.000  0.000  0.000  -0.03
Li  0.500  0.500  0.000  0.00
Li  0.000  0.000  0.500  0.00

Output
formation energy (no corrections) = -2178 meV/atom
Fermi-level density of states = 9.721 states/eV/cell

---

Entry 9:
Entry from Alexandria via LeMat-Bulk: a PBEsol-optimized structure of Nb2CN (meta-GGA SCAN).

Cell lengths 3.146, 3.146, 5.465 Å; angles 73.27, 73.27, 60.00 degrees
Positions (direct):
C  0.000  0.000  0.000
Nb  0.744  0.744  0.768
Nb  0.256  0.256  0.232
N  0.500  0.500  0.500

Output
formation energy (no corrections) = -802 meV/atom
Fermi-level density of states = 1.245 states/eV/cell
distance to the lowest polymorph of the same formula = 0 meV per atom

---

Entry 10:
Entry from Alexandria via LeMat-Bulk: a PBEsol-optimized structure of K4BeAs2 (meta-GGA SCAN).

Cell lengths 5.623, 5.623, 9.176 Å; angles 72.16, 72.16, 60.00 degrees
Positions (direct):
K  0.209  0.209  0.374
K  0.624  0.624  0.128
K  0.791  0.791  0.626
K  0.376  0.376  0.872
As  0.081  0.081  0.758
As  0.919  0.919  0.242
Be  0.000  0.000  0.000

Output
formation energy from the elements = -0.54 eV per atom

---

Entry 11:
Entry from Alexandria via LeMat-Bulk: a PBEsol-optimized structure of LaZnBAu2 (meta-GGA SCAN).

Cell lengths 4.653, 4.653, 5.538 Å; angles 90.00, 90.00, 90.00 degrees
Site moments in Bohr magnetons follow the coordinates.
Positions (direct):
Au  0.500  0.000  0.000  0.00
Au  0.000  0.500  0.000  0.00
Zn  0.000  0.000  0.000  0.00
La  0.000  0.000  0.500  0.18
B  0.500  0.500  0.500  0.35

Output
formation energy from the elements = 0.74 eV per atom
Fermi-level density of states = 3.005 states/eV/cell

---

Entry 12:
Entry from Alexandria via LeMat-Bulk: a PBEsol-optimized structure of MnHgSb2I (meta-GGA SCAN).

Cell lengths 5.447, 5.447, 5.817 Å; angles 90.00, 90.00, 90.00 degrees
Site moments in Bohr magnetons follow the coordinates.
Positions (direct):
Hg  0.000  0.000  0.000  -0.01
Mn  0.500  0.500  0.500  4.85
I  0.000  0.000  0.500  -0.12
Sb  0.500  0.000  0.000  -0.26
Sb  0.000  0.500  0.000  -0.26

Output
formation energy (no corrections) = 827 meV/atom
Fermi-level density of states = 3.244 states/eV/cell

---

| no. | calculated density (Mg/m³) | E (eV/atom) |
| --- | --- | --- |
| 1 | 10.3 | -43.51 |
| 2 | 6.9 | -18.88 |
| 3 | 9.3 | -36.65 |
| 4 | 10.0 | -43.31 |
| 5 | 7.9 | -32.48 |
| 6 | 12.0 | -40.62 |
| 7 | 6.4 | -25.95 |
| 8 | 4.3 | -11.81 |
| 9 | 8.0 | -22.21 |
| 10 | 2.2 | -11.69 |
| 11 | 8.4 | -39.73 |
| 12 | 6.0 | -38.71 |